No. 1
Below is an optimized crystal structure of TlInFe2, with properties calculated at the PBEsol level.

a b c (Å): 3.163 4.471 4.471
angles (deg): 90.17 90.00 90.00
Fractional positions:
Fe1 0.000 0.000 0.500
Fe2 0.000 0.500 0.000
In1 0.500 0.500 0.500
Tl1 0.500 0.000 0.000

Computed properties:
Space-group type: Cmmm, No. 65
ΔE to the lowest computed polymorph: 67.6 meV/atom
Crystal system: orthorhombic
Energy: -0.3947 Ry/atom


No. 2
Below is an optimized crystal structure of TlInFe2, with properties calculated at the PBEsol level.

a b c (Å): 3.369 3.974 5.295
angles (deg): 90.00 108.22 90.00
Fractional positions:
Tl1 0.222 0.500 0.814
Fe1 0.815 0.000 0.000
Fe2 0.938 0.500 0.257
In1 0.524 0.000 0.428

Computed properties:
Space-group type: Pm, No. 6
ΔE to the lowest computed polymorph: 0.0 meV/atom
Crystal system: monoclinic
Energy: -0.3997 Ry/atom


No. 3
Below is an optimized crystal structure of TlIn2Fe, with properties calculated at the PBEsol level.

a b c (Å): 3.079 3.079 8.925
angles (deg): 90.00 90.00 90.00
Fractional positions:
In1 0.000 0.000 0.312
In2 0.000 0.000 0.688
Tl1 0.500 0.500 0.000
Fe1 0.500 0.500 0.500

Computed properties:
Space-group type: P4/mmm, No. 123
Crystal system: tetragonal
Energy: -0.3054 Ry/atom


No. 4
Below is an optimized crystal structure of TlInFe, with properties calculated at the PBEsol level.

a b c (Å): 4.605 4.605 4.605
angles (deg): 60.00 60.00 60.00
Fractional positions:
Fe1 0.500 0.500 0.500
In1 0.250 0.250 0.250
Tl1 0.000 0.000 0.000

Computed properties:
Space-group type: F-43m, No. 216
Crystal system: cubic
Energy: -0.2973 Ry/atom


No. 5
Below is an optimized crystal structure of Tm12In2Fe3, with properties calculated at the PBEsol level.

a b c (Å): 8.091 8.091 8.091
angles (deg): 108.61 108.61 111.21
Fractional positions:
Tm1 0.694 0.694 0.387
Tm2 0.955 0.192 0.763
Tm3 0.306 0.694 0.000
Tm4 0.429 0.192 0.237
Tm5 0.808 0.571 0.763
Tm6 0.192 0.955 0.763
Tm7 0.808 0.045 0.237
Tm8 0.306 0.306 0.613
Tm9 0.694 0.306 0.000
Tm10 0.571 0.808 0.763
Tm11 0.045 0.808 0.237
Tm12 0.192 0.429 0.237
In1 0.000 0.500 0.500
In2 0.500 0.000 0.500
Fe1 0.000 0.000 0.000
Fe2 0.615 0.615 0.000
Fe3 0.385 0.385 0.000

Computed properties:
Space-group type: I4/mmm, No. 139
Crystal system: tetragonal
Energy: -0.4114 Ry/atom


No. 6
Below is an optimized crystal structure of InFeW, with properties calculated at the PBEsol level.

a b c (Å): 2.773 2.773 6.700
angles (deg): 97.86 97.86 109.85
Fractional positions:
In1 0.340 0.340 0.680
W1 0.653 0.653 0.307
Fe1 0.007 0.007 0.014

Computed properties:
Space-group type: Fmm2, No. 42
Crystal system: orthorhombic
Energy: -0.5988 Ry/atom


> Among the records above, which one has the highest energy?

TlInFe